No. 1
Here is a geometry-optimized ErGa4RuRh2 structure from the Alexandria database. Energies are from PBE-GGA.

a = 8.7979 Å, b = 8.7979 Å, c = 8.7979 Å
α = 27.82°, β = 27.82°, γ = 27.82°
Fractional positions:
Er 0.0000 0.0000 0.0000
Ga 0.1320 0.1320 0.1320
Ga 0.3985 0.3985 0.3985
Ga 0.6015 0.6015 0.6015
Ga 0.8680 0.8680 0.8680
Ru 0.5000 0.5000 0.5000
Rh 0.2407 0.2407 0.2407
Rh 0.7593 0.7593 0.7593

Properties
SG: R-3m (166)
Calculated formation energy, eV/atom: -0.624

No. 2
Here is a geometry-optimized Tc2C2Cl structure from the Alexandria database. Energies are from PBE-GGA.

a = 3.5035 Å, b = 3.5035 Å, c = 10.3548 Å
α = 90.00°, β = 90.00°, γ = 90.00°
Fractional positions:
Tc 0.0000 0.0000 0.1470
Tc 0.0000 0.0000 0.8530
Tc 0.5000 0.5000 0.3530
Tc 0.5000 0.5000 0.6470
C 0.0000 0.5000 0.2500
C 0.0000 0.5000 0.7500
C 0.5000 0.0000 0.2500
C 0.5000 0.0000 0.7500
Cl 0.0000 0.0000 0.5000
Cl 0.5000 0.5000 0.0000

Properties
SG: I4/mmm (139)
Formation energy without anion corrections, eV/atom: 0.8161

No. 3
Here is a geometry-optimized Th12Fe5Sn structure from the Alexandria database. Energies are from PBE-GGA.

a = 8.5145 Å, b = 8.5145 Å, c = 8.5145 Å
α = 112.91°, β = 110.43°, γ = 105.17°
Fractional positions:
Th 0.0202 0.2009 0.8193
Th 0.1790 0.3089 0.4879
Th 0.1790 0.6911 0.8702
Th 0.3283 0.0120 0.6837
Th 0.3283 0.6446 0.3163
Th 0.3816 0.2009 0.1807
Th 0.6184 0.7991 0.8193
Th 0.6717 0.3554 0.6837
Th 0.6717 0.9880 0.3163
Th 0.8210 0.3089 0.1298
Th 0.8210 0.6911 0.5121
Th 0.9798 0.7991 0.1807
Fe 0.0000 0.0000 0.0000
Fe 0.1317 0.6317 0.5000
Fe 0.3550 0.0000 0.3550
Fe 0.6450 0.0000 0.6450
Fe 0.8683 0.3683 0.5000
Sn 0.5000 0.5000 0.0000

Properties
SG: Immm (71)
Calculated formation energy, eV/atom: -0.086

No. 4
Here is a geometry-optimized NdZn4Ga2 structure from the Alexandria database. Energies are from PBE-GGA.

a = 4.1739 Å, b = 14.6378 Å, c = 4.1362 Å
α = 90.00°, β = 90.00°, γ = 90.00°
Fractional positions:
Nd 0.0000 0.0000 0.0000
Nd 0.5000 0.5000 0.0000
Zn 0.0000 0.1864 0.5000
Zn 0.0000 0.3084 0.0000
Zn 0.0000 0.6916 0.0000
Zn 0.0000 0.8136 0.5000
Zn 0.5000 0.1916 0.0000
Zn 0.5000 0.3136 0.5000
Zn 0.5000 0.6864 0.5000
Zn 0.5000 0.8084 0.0000
Ga 0.0000 0.4146 0.5000
Ga 0.0000 0.5854 0.5000
Ga 0.5000 0.0854 0.5000
Ga 0.5000 0.9146 0.5000

Properties
SG: Cmmm (65)
Calculated formation energy, eV/atom: -0.315